1.
This record from Alexandria describes an optimized crystal structure of NiMoPb3. The functional is PBE.

Calculated values
formation energy from the elements = 0.89 eV/atom
E above lowest polymorph = 0.000 eV per atom

```
NiMoPb3
1.0
5.117 0.000 0.000
0.000 5.117 0.000
0.000 0.000 5.117
Pb Ni Mo
3 1 1
Cartesian
0.000 2.559 0.000
0.000 0.000 2.559
2.559 0.000 0.000
0.000 0.000 0.000
2.559 2.559 2.559
```

2.
This record from Alexandria describes an optimized crystal structure of Ce5IrOs2. The functional is PBE.

Calculated values
formation energy from the elements = -0.33 eV/atom
E above lowest polymorph = 0.000 eV per atom

```
Ce5IrOs2
1.0
7.045 0.000 -3.326
-1.570 6.868 -3.326
-0.486 -0.610 8.095
Ce Ir Os
10 2 4
Cartesian
2.220 4.268 1.672
4.060 6.577 -3.554
0.000 0.000 0.000
2.738 3.434 -3.326
0.929 -0.319 4.998
4.188 0.834 2.776
-1.039 3.115 3.893
0.801 5.424 -1.332
6.028 3.143 -2.449
2.770 1.990 -0.228
3.863 4.846 -0.941
1.126 1.412 2.385
0.353 2.527 -1.663
4.246 0.907 -2.542
1.229 5.961 -4.110
5.122 4.341 -4.988
```

3.
This record from Alexandria describes an optimized crystal structure of Nd3Zn3Cd8. The functional is PBE.

Calculated values
formation energy from the elements = -0.24 eV/atom

```
Nd3Zn3Cd8
1.0
4.797 0.000 1.267
1.837 8.085 2.757
0.269 0.825 8.695
Nd Zn Cd
3 3 8
Cartesian
3.451 4.455 6.359
4.220 1.911 3.452
2.683 6.999 9.267
2.398 0.000 0.634
1.615 7.056 3.599
0.491 1.854 7.853
3.361 1.074 6.700
3.541 7.836 6.019
4.288 5.363 3.192
2.615 3.547 9.527
5.697 6.785 7.570
1.205 2.126 5.149
5.238 4.657 9.310
1.665 4.253 3.409
```

4.
This record from Alexandria describes an optimized crystal structure of Tb4PmPd5. The functional is PBE.

Calculated values
formation energy from the elements = -0.84 eV/atom

```
Tb4PmPd5
1.0
-2.146 -0.472 2.726
2.625 -1.435 1.819
4.499 16.289 6.360
Tb Pm Pd
4 1 5
Cartesian
0.913 3.304 1.290
1.804 6.532 2.551
2.695 9.757 3.810
3.587 12.985 5.070
0.000 0.000 0.000
0.720 0.786 2.951
1.598 3.966 4.193
2.489 7.191 5.452
3.380 10.417 6.712
4.258 13.597 7.953
```

5.
This record from Alexandria describes an optimized crystal structure of ThRh2Pb. The functional is PBE.

Calculated values
formation energy from the elements = -0.66 eV/atom

```
ThRh2Pb
1.0
-2.388 -1.266 3.359
1.959 -5.322 -0.613
5.570 1.528 4.535
Th Rh Pb
2 4 2
Cartesian
4.903 -0.120 3.441
2.625 -3.674 0.482
6.080 -2.727 3.295
1.449 -1.067 0.628
-1.194 -0.633 1.680
-0.214 -3.294 1.373
3.690 -3.688 4.000
1.451 -1.372 3.281
```

6.
This record from Alexandria describes an optimized crystal structure of CaMgRhAu. The functional is PBE.

Calculated values
formation energy from the elements = -0.47 eV/atom

```
CaMgRhAu
1.0
4.774 0.000 0.000
2.387 4.134 0.000
2.387 1.378 3.898
Rh Ca Au Mg
1 1 1 1
Cartesian
7.161 4.134 2.923
4.774 2.756 1.949
2.387 1.378 0.974
0.000 0.000 0.000
```

7.
This record from Alexandria describes an optimized crystal structure of Ac8PtAu2. The functional is PBE.

Calculated values
formation energy from the elements = -0.49 eV/atom
E above lowest polymorph = 0.000 eV per atom

```
Ac8PtAu2
1.0
-3.703 -0.435 -1.947
4.759 -1.445 -8.727
1.802 -9.506 3.240
Ac Pt Au
8 1 2
Cartesian
0.620 -2.786 -5.101
0.014 -6.708 1.471
1.545 -4.854 -1.854
1.841 -10.897 -5.612
1.312 -6.532 -5.581
2.843 -4.678 -8.906
2.237 -8.600 -2.334
1.016 -0.489 -1.823
-1.851 -0.217 -0.974
3.525 -4.208 -5.764
-0.668 -7.178 -1.670
```

8.
This record from Alexandria describes an optimized crystal structure of Ca2MgTc. The functional is PBE.

Calculated values
formation energy from the elements = 0.41 eV/atom

```
Ca2MgTc
1.0
3.422 0.000 0.000
0.000 3.426 0.004
0.000 3.403 8.913
Ca Mg Tc
2 1 1
Cartesian
0.000 3.403 8.549
0.000 3.414 4.823
1.711 1.707 2.229
1.711 5.122 6.688
```

9.
This record from Alexandria describes an optimized crystal structure of InHgB. The functional is PBE.

Calculated values
formation energy from the elements = 0.28 eV/atom

```
InHgB
1.0
3.175 0.035 0.003
-2.181 6.281 -0.089
1.439 0.311 6.371
B Hg In
2 2 2
Cartesian
2.942 2.948 4.795
1.364 2.745 4.982
4.476 0.600 6.221
-0.168 5.094 3.555
2.094 1.623 2.671
0.774 3.762 0.732
```

10.
This record from Alexandria describes an optimized crystal structure of NdHo6Er3. The functional is PBE.

Calculated values
formation energy from the elements = 0.15 eV/atom

```
NdHo6Er3
1.0
-4.621 -4.008 -0.727
3.359 -2.029 -10.167
3.875 -5.966 8.255
Nd Ho Er
2 12 6
Cartesian
3.041 -5.779 4.317
0.429 -5.480 -6.821
4.653 -5.251 -2.147
2.390 -7.620 -0.802
3.873 -8.300 2.172
1.346 -8.648 -5.940
1.466 -3.878 -9.598
0.762 -7.410 2.514
2.852 -3.724 -4.994
-0.377 -9.446 6.720
0.220 -4.263 3.137
-2.308 -4.611 -4.975
2.264 -2.612 -1.516
0.002 -4.981 -0.171
3.811 -8.008 -3.908
1.612 -10.865 -0.278
3.334 -4.725 1.014
0.910 -5.864 -3.396
-3.107 -5.650 0.969
-0.908 -2.793 -2.661
```

11.
This record from Alexandria describes an optimized crystal structure of RhIF2. The functional is PBE.

Calculated values
formation energy without anion corrections = -0.04 eV per atom
E above lowest polymorph = 0.582 eV per atom

```
RhIF2
1.0
-2.649 -2.769 2.240
-1.043 0.861 4.227
-4.126 1.246 1.058
I Rh F
1 1 2
Cartesian
-3.909 -0.331 3.763
0.000 0.000 0.000
-1.955 -0.166 1.881
-5.864 -0.497 5.644
```

12.
This record from Alexandria describes an optimized crystal structure of Ce4Ga2H. The functional is PBE.

Calculated values
calculated total energy = -35.295 eV for the cell shown

```
Ce4Ga2H
1.0
-2.737 2.065 2.927
2.768 -1.119 3.378
4.123 7.424 2.090
H Ga Ce
1 2 4
Cartesian
0.000 0.000 0.000
3.047 6.050 5.524
1.106 2.319 2.870
1.528 3.480 5.918
2.626 4.890 2.477
1.384 -0.560 1.689
-1.369 1.033 1.464
```

Summary of V in Å³ per cell
134.0; 363.1; 325.5; 221.4; 180.6; 76.9; 421.1; 104.4; 127.6; 635.6; 61.8; 165.5
(order as listed above)